--- w ---
Entry from Alexandria via LeMat-Bulk: a geometry-optimized SiSbTe2Os structure (PBE).

Theoretical density ... 7.0 g cm⁻³
Crystal system ... tetragonal
Volume ... 141.8 Å³/f.u.

Cell lengths 5.325, 5.325, 5.000 Å; angles 90.00, 90.00, 90.00 degrees
Sites, in units of the cell vectors:
Si  0.000  0.000  0.000
Sb  0.500  0.500  0.000
Te  0.000  0.500  0.500
Te  0.500  0.000  0.500
Os  0.500  0.500  0.500

***

--- x ---
Entry from Alexandria via LeMat-Bulk: a geometry-optimized SiSbTe2Os structure (PBE).

Theoretical density ... 7.9 g cm⁻³
Crystal system ... tetragonal
Volume ... 125.1 Å³/f.u.

Cell lengths 5.013, 5.013, 4.976 Å; angles 90.00, 90.00, 90.00 degrees
Sites, in units of the cell vectors:
Si  0.000  0.000  0.000
Sb  0.000  0.000  0.500
Te  0.000  0.500  0.000
Te  0.500  0.000  0.000
Os  0.500  0.500  0.500

***

It is w that is the most stable of them.

***

--- w ---
Entry from Alexandria via LeMat-Bulk: a geometry-optimized SiSb2TeOs structure (PBE).

Theoretical density ... 7.9 g cm⁻³
Crystal system ... tetragonal
Volume ... 124.3 Å³/f.u.

Cell lengths 4.980, 4.980, 5.011 Å; angles 90.00, 90.00, 90.00 degrees
Sites, in units of the cell vectors:
Si  0.000  0.000  0.000
Sb  0.000  0.500  0.000
Sb  0.500  0.000  0.000
Te  0.000  0.000  0.500
Os  0.500  0.500  0.500

***

--- x ---
Entry from Alexandria via LeMat-Bulk: a geometry-optimized SiSb2TeOs structure (PBE).

Theoretical density ... 6.9 g cm⁻³
Crystal system ... tetragonal
Volume ... 142.6 Å³/f.u.

Cell lengths 4.992, 4.992, 5.722 Å; angles 90.00, 90.00, 90.00 degrees
Sites, in units of the cell vectors:
Si  0.000  0.000  0.000
Sb  0.000  0.500  0.500
Sb  0.500  0.000  0.500
Te  0.500  0.500  0.000
Os  0.500  0.500  0.500

***

It is x that is the most stable of them.

***

--- w ---
Entry from Alexandria via LeMat-Bulk: a geometry-optimized Sm4SbOs structure (PBE).

Theoretical density ... 8.6 g cm⁻³
Crystal system ... monoclinic
Volume ... 176.7 Å³/f.u.

Cell lengths 8.201, 8.201, 6.286 Å; angles 103.35, 103.35, 113.04 degrees
Sites, in units of the cell vectors:
Sm  0.059  0.718  0.931
Sm  0.213  0.351  0.661
Sm  0.282  0.941  0.569
Sm  0.351  0.213  0.161
Sm  0.649  0.787  0.839
Sm  0.718  0.059  0.431
Sm  0.787  0.649  0.339
Sm  0.941  0.282  0.069
Sb  0.373  0.627  0.250
Sb  0.627  0.373  0.750
Os  0.000  0.000  0.250
Os  0.000  0.000  0.750

***

--- x ---
Entry from Alexandria via LeMat-Bulk: a geometry-optimized Sm4SbOs structure (PBE).

Theoretical density ... 8.8 g cm⁻³
Crystal system ... monoclinic
Volume ... 172.8 Å³/f.u.

Cell lengths 6.212, 6.645, 8.904 Å; angles 90.00, 109.83, 90.00 degrees
Sites, in units of the cell vectors:
Sm  0.161  0.250  0.093
Sm  0.282  0.750  0.381
Sm  0.302  0.000  0.791
Sm  0.302  0.500  0.791
Sm  0.698  0.000  0.209
Sm  0.698  0.500  0.209
Sm  0.718  0.250  0.619
Sm  0.839  0.750  0.907
Sb  0.164  0.250  0.452
Sb  0.836  0.750  0.548
Os  0.306  0.750  0.070
Os  0.694  0.250  0.930

***

It is w that is the most stable of them.

***

--- w ---
Entry from Alexandria via LeMat-Bulk: a geometry-optimized Sn2SbOs2 structure (PBE).

Theoretical density ... 11.1 g cm⁻³
Crystal system ... tetragonal
Volume ... 110.4 Å³/f.u.

Cell lengths 4.646, 4.646, 10.228 Å; angles 90.00, 90.00, 90.00 degrees
Sites, in units of the cell vectors:
Sn  0.000  0.000  0.132
Sn  0.000  0.000  0.868
Sn  0.500  0.500  0.368
Sn  0.500  0.500  0.632
Sb  0.000  0.000  0.500
Sb  0.500  0.500  0.000
Os  0.000  0.500  0.250
Os  0.000  0.500  0.750
Os  0.500  0.000  0.250
Os  0.500  0.000  0.750

***

--- x ---
Entry from Alexandria via LeMat-Bulk: a geometry-optimized Sn2SbOs2 structure (PBE).

Theoretical density ... 12.5 g cm⁻³
Crystal system ... tetragonal
Volume ... 98.1 Å³/f.u.

Cell lengths 8.034, 8.034, 3.041 Å; angles 90.00, 90.00, 90.00 degrees
Sites, in units of the cell vectors:
Sn  0.141  0.359  0.000
Sn  0.359  0.859  0.000
Sn  0.641  0.141  0.000
Sn  0.859  0.641  0.000
Sb  0.000  0.000  0.000
Sb  0.500  0.500  0.000
Os  0.153  0.653  0.500
Os  0.347  0.153  0.500
Os  0.653  0.847  0.500
Os  0.847  0.347  0.500

***

It is x that is the most stable of them.

***

--- w ---
Entry from Alexandria via LeMat-Bulk: a geometry-optimized SnSbOs2 structure (PBE).

Theoretical density ... 14.8 g cm⁻³
Crystal system ... cubic
Volume ... 69.8 Å³/f.u.

Cell lengths 6.537, 6.537, 6.537 Å; angles 90.00, 90.00, 90.00 degrees
Sites, in units of the cell vectors:
Sn  0.000  0.000  0.000
Sn  0.000  0.500  0.500
Sn  0.500  0.000  0.500
Sn  0.500  0.500  0.000
Sb  0.000  0.000  0.500
Sb  0.000  0.500  0.000
Sb  0.500  0.000  0.000
Sb  0.500  0.500  0.500
Os  0.250  0.250  0.250
Os  0.250  0.250  0.750
Os  0.250  0.750  0.250
Os  0.250  0.750  0.750
Os  0.750  0.250  0.250
Os  0.750  0.250  0.750
Os  0.750  0.750  0.250
Os  0.750  0.750  0.750

***

--- x ---
Entry from Alexandria via LeMat-Bulk: a geometry-optimized SnSbOs2 structure (PBE).

Theoretical density ... 9.7 g cm⁻³
Crystal system ... tetragonal
Volume ... 105.8 Å³/f.u.

Cell lengths 5.964, 5.964, 11.902 Å; angles 90.00, 90.00, 90.00 degrees
Sites, in units of the cell vectors:
Sn  0.000  0.000  0.000
Sn  0.000  0.500  0.250
Sn  0.500  0.000  0.750
Sn  0.500  0.500  0.500
Sb  0.000  0.000  0.500
Sb  0.000  0.500  0.750
Sb  0.500  0.000  0.250
Sb  0.500  0.500  0.000
Os  0.244  0.250  0.625
Os  0.250  0.744  0.875
Os  0.250  0.756  0.375
Os  0.256  0.250  0.125
Os  0.744  0.750  0.125
Os  0.750  0.244  0.375
Os  0.750  0.256  0.875
Os  0.756  0.750  0.625

***

It is w that is the most stable of them.

***

--- w ---
Entry from Alexandria via LeMat-Bulk: a geometry-optimized Sr2SbOs2 structure (PBE).

Theoretical density ... 9.1 g cm⁻³
Crystal system ... tetragonal
Volume ... 123.5 Å³/f.u.

Cell lengths 9.279, 9.279, 2.869 Å; angles 90.00, 90.00, 90.00 degrees
Sites, in units of the cell vectors:
Sr  0.130  0.370  0.000
Sr  0.370  0.870  0.000
Sr  0.630  0.130  0.000
Sr  0.870  0.630  0.000
Sb  0.000  0.000  0.000
Sb  0.500  0.500  0.000
Os  0.170  0.670  0.500
Os  0.330  0.170  0.500
Os  0.670  0.830  0.500
Os  0.830  0.330  0.500

***

--- x ---
Entry from Alexandria via LeMat-Bulk: a geometry-optimized Sr2SbOs2 structure (PBE).

Theoretical density ... 8.6 g cm⁻³
Crystal system ... tetragonal
Volume ... 130.7 Å³/f.u.

Cell lengths 3.625, 3.625, 19.892 Å; angles 90.00, 90.00, 90.00 degrees
Sites, in units of the cell vectors:
Sr  0.000  0.000  0.115
Sr  0.000  0.000  0.885
Sr  0.500  0.500  0.385
Sr  0.500  0.500  0.615
Sb  0.000  0.000  0.500
Sb  0.500  0.500  0.000
Os  0.000  0.500  0.250
Os  0.000  0.500  0.750
Os  0.500  0.000  0.250
Os  0.500  0.000  0.750

***

It is x that is the most stable of them.

***

--- w ---
Entry from Alexandria via LeMat-Bulk: a geometry-optimized SrSb3Os structure (PBE).

Theoretical density ... 5.6 g cm⁻³
Crystal system ... cubic
Volume ... 191.3 Å³/f.u.

Cell lengths 5.762, 5.762, 5.762 Å; angles 90.00, 90.00, 90.00 degrees
Sites, in units of the cell vectors:
Sr  0.000  0.000  0.000
Sb  0.000  0.000  0.500
Sb  0.000  0.500  0.000
Sb  0.500  0.000  0.000
Os  0.500  0.500  0.500

***

--- x ---
Entry from Alexandria via LeMat-Bulk: a geometry-optimized SrSb3Os structure (PBE).

Theoretical density ... 7.2 g cm⁻³
Crystal system ... cubic
Volume ... 147.8 Å³/f.u.

Cell lengths 5.287, 5.287, 5.287 Å; angles 90.00, 90.00, 90.00 degrees
Sites, in units of the cell vectors:
Sr  0.000  0.000  0.000
Sb  0.000  0.500  0.500
Sb  0.500  0.000  0.500
Sb  0.500  0.500  0.000
Os  0.500  0.500  0.500

***

It is x that is the most stable of them.

***

--- w ---
Entry from Alexandria via LeMat-Bulk: a geometry-optimized TaSb2TeOs structure (PBE).

Theoretical density ... 9.0 g cm⁻³
Crystal system ... tetragonal
Volume ... 137.5 Å³/f.u.

Cell lengths 4.985, 4.985, 5.532 Å; angles 90.00, 90.00, 90.00 degrees
Sites, in units of the cell vectors:
Ta  0.000  0.000  0.000
Sb  0.000  0.500  0.500
Sb  0.500  0.000  0.500
Te  0.500  0.500  0.000
Os  0.500  0.500  0.500

***

--- x ---
Entry from Alexandria via LeMat-Bulk: a geometry-optimized TaSb2TeOs structure (PBE).

Theoretical density ... 8.3 g cm⁻³
Crystal system ... tetragonal
Volume ... 149.2 Å³/f.u.

Cell lengths 5.335, 5.335, 5.240 Å; angles 90.00, 90.00, 90.00 degrees
Sites, in units of the cell vectors:
Ta  0.000  0.000  0.000
Sb  0.000  0.500  0.000
Sb  0.500  0.000  0.000
Te  0.000  0.000  0.500
Os  0.500  0.500  0.500

***

It is w that is the most stable of them.

***

--- w ---
Entry from Alexandria via LeMat-Bulk: a geometry-optimized TcSb2Os structure (PBE).

Theoretical density ... 12.6 g cm⁻³
Crystal system ... cubic
Volume ... 70.1 Å³/f.u.

Cell lengths 6.545, 6.545, 6.545 Å; angles 90.00, 90.00, 90.00 degrees
Sites, in units of the cell vectors:
Tc  0.000  0.000  0.000
Tc  0.000  0.500  0.500
Tc  0.500  0.000  0.500
Tc  0.500  0.500  0.000
Sb  0.250  0.250  0.250
Sb  0.250  0.250  0.750
Sb  0.250  0.750  0.250
Sb  0.250  0.750  0.750
Sb  0.750  0.250  0.250
Sb  0.750  0.250  0.750
Sb  0.750  0.750  0.250
Sb  0.750  0.750  0.750
Os  0.000  0.000  0.500
Os  0.000  0.500  0.000
Os  0.500  0.000  0.000
Os  0.500  0.500  0.500

***

--- x ---
Entry from Alexandria via LeMat-Bulk: a geometry-optimized TcSb2Os structure (PBE).

Theoretical density ... 12.2 g cm⁻³
Crystal system ... monoclinic
Volume ... 72.1 Å³/f.u.

Cell lengths 8.473, 3.170, 5.497 Å; angles 90.00, 102.25, 90.00 degrees
Sites, in units of the cell vectors:
Tc  0.000  0.000  0.000
Tc  0.500  0.500  0.000
Sb  0.250  0.000  0.752
Sb  0.250  0.500  0.248
Sb  0.750  0.000  0.248
Sb  0.750  0.500  0.752
Os  0.000  0.500  0.500
Os  0.500  0.000  0.500

***

It is w that is the most stable of them.

***

--- w ---
Entry from Alexandria via LeMat-Bulk: a geometry-optimized TcSb2TeOs structure (PBE).

Theoretical density ... 8.5 g cm⁻³
Crystal system ... tetragonal
Volume ... 129.3 Å³/f.u.

Cell lengths 5.052, 5.052, 5.067 Å; angles 90.00, 90.00, 90.00 degrees
Sites, in units of the cell vectors:
Tc  0.000  0.000  0.000
Sb  0.000  0.500  0.000
Sb  0.500  0.000  0.000
Te  0.000  0.000  0.500
Os  0.500  0.500  0.500

***

--- x ---
Entry from Alexandria via LeMat-Bulk: a geometry-optimized TcSb2TeOs structure (PBE).

Theoretical density ... 7.8 g cm⁻³
Crystal system ... tetragonal
Volume ... 140.9 Å³/f.u.

Cell lengths 5.001, 5.001, 5.635 Å; angles 90.00, 90.00, 90.00 degrees
Sites, in units of the cell vectors:
Tc  0.000  0.000  0.000
Sb  0.000  0.500  0.500
Sb  0.500  0.000  0.500
Te  0.500  0.500  0.000
Os  0.500  0.500  0.500

***

It is x that is the most stable of them.

***

--- w ---
Entry from Alexandria via LeMat-Bulk: a geometry-optimized SbTeOs structure (PBE).

Theoretical density ... 10.4 g cm⁻³
Crystal system ... orthorhombic
Volume ... 70.0 Å³/f.u.

Cell lengths 7.620, 6.742, 8.605 Å; angles 58.03, 48.64, 73.33 degrees
Sites, in units of the cell vectors:
Sb  0.031  0.969  0.829
Sb  0.079  0.421  0.281
Sb  0.421  0.079  0.219
Sb  0.969  0.031  0.171
Te  0.462  0.540  0.675
Te  0.540  0.462  0.323
Te  0.575  0.927  0.788
Te  0.927  0.575  0.710
Os  0.000  0.501  0.995
Os  0.255  0.747  0.250
Os  0.501  0.000  0.503
Os  0.747  0.255  0.749

***

--- x ---
Entry from Alexandria via LeMat-Bulk: a geometry-optimized SbTeOs structure (PBE).

Theoretical density ... 10.1 g cm⁻³
Crystal system ... trigonal
Volume ... 72.2 Å³/f.u.

Cell lengths 3.808, 3.808, 5.747 Å; angles 90.00, 90.00, 120.00 degrees
Sites, in units of the cell vectors:
Sb  0.000  0.000  0.000
Te  0.667  0.333  0.467
Os  0.333  0.667  0.726

***

It is w that is the most stable of them.

***

--- w ---
Entry from Alexandria via LeMat-Bulk: a geometry-optimized SbTeOs structure (PBE).

Theoretical density ... 10.7 g cm⁻³
Crystal system ... monoclinic
Volume ... 68.4 Å³/f.u.

Cell lengths 6.700, 6.596, 6.770 Å; angles 90.00, 113.86, 90.00 degrees
Sites, in units of the cell vectors:
Sb  0.140  0.141  0.386
Sb  0.140  0.359  0.886
Sb  0.860  0.641  0.114
Sb  0.860  0.859  0.614
Te  0.347  0.635  0.683
Te  0.347  0.865  0.183
Te  0.653  0.135  0.817
Te  0.653  0.365  0.317
Os  0.276  0.001  0.796
Os  0.276  0.499  0.296
Os  0.724  0.501  0.704
Os  0.724  0.999  0.204

***

--- x ---
Entry from Alexandria via LeMat-Bulk: a geometry-optimized SbTeOs structure (PBE).

Theoretical density ... 10.7 g cm⁻³
Crystal system ... tetragonal
Volume ... 68.2 Å³/f.u.

Cell lengths 3.194, 3.194, 13.366 Å; angles 90.00, 90.00, 90.00 degrees
Sites, in units of the cell vectors:
Sb  0.000  0.000  0.000
Sb  0.500  0.500  0.500
Te  0.000  0.000  0.741
Te  0.500  0.500  0.241
Os  0.000  0.000  0.368
Os  0.500  0.500  0.868

***

It is w that is the most stable of them.